# 1
Below is crystalline ScTaGeO6 at its relaxed geometry, with properties calculated at the PBE level.

Lattice parameters (Å, degrees): 4.705 4.705 9.225 90.00 90.00 90.00
Fractional coordinates of all 18 atoms:
Sc  0.500  0.500  0.830
Sc  0.000  0.000  0.330
Ta  0.500  0.500  0.162
Ta  0.000  0.000  0.662
Ge  0.500  0.500  0.500
Ge  0.000  0.000  0.000
O  0.207  0.793  0.511
O  0.793  0.207  0.511
O  0.293  0.293  0.011
O  0.707  0.707  0.011
O  0.196  0.804  0.153
O  0.804  0.196  0.153
O  0.304  0.304  0.653
O  0.696  0.696  0.653
O  0.816  0.184  0.840
O  0.184  0.816  0.840
O  0.684  0.684  0.340
O  0.316  0.316  0.340

Output
V = 11.34 Å³/atom
Energy relative to the elements, uncorrected = -2270 kJ/mol of formula units
Total magnetic moment = 0.00 μB/cell
D(E_F) = 0.00 states/eV per cell
SG = P4_2nm, No. 102

***

# 2
Below is crystalline Tb2Sc4Ge3O2 at its relaxed geometry, with properties calculated at the PBE level.

Lattice parameters (Å, degrees): 4.277 4.277 11.922 100.33 100.33 90.00
Fractional coordinates of all 11 atoms:
Tb  0.305  0.305  0.609
Tb  0.695  0.695  0.391
Sc  0.421  0.921  0.843
Sc  0.921  0.421  0.843
Sc  0.079  0.579  0.157
Sc  0.579  0.079  0.157
Ge  0.000  0.000  0.000
Ge  0.172  0.172  0.343
Ge  0.828  0.828  0.657
O  0.410  0.410  0.820
O  0.590  0.590  0.180

Output
V = 19.18 Å³/atom
Energy relative to the elements, uncorrected = -1765 kJ/mol of formula units
Total magnetic moment = 0.00 μB/cell
D(E_F) = 7.98 states/eV per cell
SG = I4/mmm, No. 139

***

Computed calculated density (g cm⁻³) in order:
6.418, 5.885